(1)
# SrUPt2O8 | Alexandria via LeMat-Bulk | PBE | relaxed
# * energy: -7.072 eV per atom
# * D(E_F): 0.025 states/eV/atom
# * magnetic moment: 0.000 μB/f.u.
data_SrUPt2O8
_cell_length_a 4.944
_cell_length_b 6.763
_cell_length_c 4.950
_cell_angle_alpha 90.00
_cell_angle_beta 92.27
_cell_angle_gamma 90.00
_symmetry_space_group_name_H-M 'P 1'
_symmetry_Int_Tables_number 1
_symmetry_space_group_name_Hall 'P 1'
loop_
_atom_site_label
_atom_site_type_symbol
_atom_site_fract_x
_atom_site_fract_y
_atom_site_fract_z
_atom_site_occupancy
Sr1 Sr 0.000 0.000 0.000 1
U1 U 0.000 0.500 0.000 1
Pt1 Pt 0.500 0.252 0.500 1
Pt2 Pt 0.500 0.748 0.500 1
O1 O 0.209 0.285 0.206 1
O2 O 0.209 0.715 0.206 1
O3 O 0.319 0.500 0.678 1
O4 O 0.332 0.000 0.663 1
O5 O 0.668 0.000 0.337 1
O6 O 0.681 0.500 0.322 1
O7 O 0.791 0.285 0.794 1
O8 O 0.791 0.715 0.794 1



(2)
# Ac4Pr3Nd4 | Alexandria via LeMat-Bulk | PBE | relaxed
# * energy: -4.359 eV per atom
# * D(E_F): 1.536 states/eV/atom
# * ΔE_f: 0.172 eV per atom
# * magnetic moment: 0.000 μB/f.u.
data_Ac4Pr3Nd4
_cell_length_a 11.669
_cell_length_b 11.669
_cell_length_c 11.669
_cell_angle_alpha 161.57
_cell_angle_beta 118.40
_cell_angle_gamma 64.90
_symmetry_space_group_name_H-M 'P 1'
_symmetry_Int_Tables_number 1
_symmetry_space_group_name_Hall 'P 1'
loop_
_atom_site_label
_atom_site_type_symbol
_atom_site_fract_x
_atom_site_fract_y
_atom_site_fract_z
_atom_site_occupancy
Ac1 Ac 0.203 0.203 0.000 1
Ac2 Ac 0.277 0.500 0.777 1
Ac3 Ac 0.723 0.500 0.223 1
Ac4 Ac 0.797 0.797 0.000 1
Pr1 Pr 0.000 0.000 0.000 1
Pr2 Pr 0.392 0.892 0.500 1
Pr3 Pr 0.608 0.108 0.500 1
Nd1 Nd 0.086 0.325 0.762 1
Nd2 Nd 0.437 0.675 0.762 1
Nd3 Nd 0.563 0.325 0.238 1
Nd4 Nd 0.914 0.675 0.238 1



(3)
# LaThCuPt | Alexandria via LeMat-Bulk | PBE | relaxed
# * energy: -6.178 eV per atom
# * D(E_F): 0.895 states/eV/atom
# * ΔE_f: -0.557 eV per atom
# * magnetic moment: 0.000 μB/f.u.
data_LaThCuPt
_cell_length_a 5.133
_cell_length_b 5.133
_cell_length_c 5.133
_cell_angle_alpha 60.00
_cell_angle_beta 60.00
_cell_angle_gamma 60.00
_symmetry_space_group_name_H-M 'P 1'
_symmetry_Int_Tables_number 1
_symmetry_space_group_name_Hall 'P 1'
loop_
_atom_site_label
_atom_site_type_symbol
_atom_site_fract_x
_atom_site_fract_y
_atom_site_fract_z
_atom_site_occupancy
La1 La 0.000 0.000 0.000 1
Th1 Th 0.500 0.500 0.500 1
Cu1 Cu 0.750 0.750 0.750 1
Pt1 Pt 0.250 0.250 0.250 1



(4)
# NdThAu2 | Alexandria via LeMat-Bulk | PBE | relaxed
# * energy: -5.385 eV per atom
# * D(E_F): 0.882 states/eV/atom
# * ΔE_f: -0.699 eV per atom
# * magnetic moment: 0.000 μB/f.u.
data_NdThAu2
_cell_length_a 3.957
_cell_length_b 4.745
_cell_length_c 5.990
_cell_angle_alpha 90.00
_cell_angle_beta 109.08
_cell_angle_gamma 90.00
_symmetry_space_group_name_H-M 'P 1'
_symmetry_Int_Tables_number 1
_symmetry_space_group_name_Hall 'P 1'
loop_
_atom_site_label
_atom_site_type_symbol
_atom_site_fract_x
_atom_site_fract_y
_atom_site_fract_z
_atom_site_occupancy
Nd1 Nd 0.000 0.000 0.000 1
Th1 Th 0.275 0.500 0.551 1
Au1 Au 0.552 0.500 0.105 1
Au2 Au 0.728 0.000 0.457 1



(5)
# Cs2Hg10Pb | Alexandria via LeMat-Bulk | PBE | relaxed
# * energy: -0.761 eV per atom
# * D(E_F): 0.488 states/eV/atom
# * ΔE_f: -0.112 eV per atom
# * magnetic moment: 0.000 μB/f.u.
data_Cs2Hg10Pb
_cell_length_a 10.971
_cell_length_b 12.781
_cell_length_c 7.087
_cell_angle_alpha 90.00
_cell_angle_beta 90.00
_cell_angle_gamma 90.00
_symmetry_space_group_name_H-M 'P 1'
_symmetry_Int_Tables_number 1
_symmetry_space_group_name_Hall 'P 1'
loop_
_atom_site_label
_atom_site_type_symbol
_atom_site_fract_x
_atom_site_fract_y
_atom_site_fract_z
_atom_site_occupancy
Cs1 Cs 0.246 0.063 0.000 1
Cs2 Cs 0.254 0.563 0.000 1
Cs3 Cs 0.746 0.437 0.000 1
Cs4 Cs 0.754 0.937 0.000 1
Hg1 Hg 0.044 0.627 0.500 1
Hg2 Hg 0.067 0.810 0.212 1
Hg3 Hg 0.067 0.810 0.788 1
Hg4 Hg 0.185 0.200 0.500 1
Hg5 Hg 0.224 0.438 0.500 1
Hg6 Hg 0.276 0.938 0.500 1
Hg7 Hg 0.315 0.700 0.500 1
Hg8 Hg 0.433 0.310 0.212 1
Hg9 Hg 0.433 0.310 0.788 1
Hg10 Hg 0.456 0.127 0.500 1
Hg11 Hg 0.544 0.873 0.500 1
Hg12 Hg 0.567 0.690 0.212 1
Hg13 Hg 0.567 0.690 0.788 1
Hg14 Hg 0.685 0.300 0.500 1
Hg15 Hg 0.724 0.062 0.500 1
Hg16 Hg 0.776 0.562 0.500 1
Hg17 Hg 0.815 0.800 0.500 1
Hg18 Hg 0.933 0.190 0.212 1
Hg19 Hg 0.933 0.190 0.788 1
Hg20 Hg 0.956 0.373 0.500 1
Pb1 Pb 0.000 0.000 0.500 1
Pb2 Pb 0.500 0.500 0.500 1



(6)
# ZrAg2P | Alexandria via LeMat-Bulk | PBE | relaxed
# * energy: -4.693 eV per atom
# * D(E_F): 0.856 states/eV/atom
# * ΔE_f: 0.222 eV per atom
# * magnetic moment: 0.000 μB/f.u.
data_ZrAg2P
_cell_length_a 9.558
_cell_length_b 9.558
_cell_length_c 9.558
_cell_angle_alpha 18.09
_cell_angle_beta 18.09
_cell_angle_gamma 18.09
_symmetry_space_group_name_H-M 'P 1'
_symmetry_Int_Tables_number 1
_symmetry_space_group_name_Hall 'P 1'
loop_
_atom_site_label
_atom_site_type_symbol
_atom_site_fract_x
_atom_site_fract_y
_atom_site_fract_z
_atom_site_occupancy
Zr1 Zr 0.000 0.000 0.000 1
Ag1 Ag 0.243 0.243 0.243 1
Ag2 Ag 0.757 0.757 0.757 1
P1 P 0.500 0.500 0.500 1



(7)
# TaMnRe2 | Alexandria via LeMat-Bulk | PBE | relaxed
# * energy: -11.487 eV per atom
# * D(E_F): 0.869 states/eV/atom
# * ΔE_f: -0.008 eV per atom
# * magnetic moment: 1.911 μB/f.u.
data_TaMnRe2
_cell_length_a 5.137
_cell_length_b 5.137
_cell_length_c 5.137
_cell_angle_alpha 144.44
_cell_angle_beta 129.20
_cell_angle_gamma 63.54
_symmetry_space_group_name_H-M 'P 1'
_symmetry_Int_Tables_number 1
_symmetry_space_group_name_Hall 'P 1'
loop_
_atom_site_label
_atom_site_type_symbol
_atom_site_fract_x
_atom_site_fract_y
_atom_site_fract_z
_atom_site_occupancy
Ta1 Ta 0.000 0.000 0.000 1
Mn1 Mn 0.500 0.500 0.000 1
Re1 Re 0.252 0.752 0.500 1
Re2 Re 0.748 0.248 0.500 1



(8)
# Sm4AgHg2 | Alexandria via LeMat-Bulk | PBE | relaxed
# * energy: -3.445 eV per atom
# * D(E_F): 1.287 states/eV/atom
# * ΔE_f: -0.255 eV per atom
# * magnetic moment: 0.949 μB/f.u.
data_Sm4AgHg2
_cell_length_a 6.448
_cell_length_b 6.448
_cell_length_c 6.448
_cell_angle_alpha 109.60
_cell_angle_beta 109.60
_cell_angle_gamma 109.22
_symmetry_space_group_name_H-M 'P 1'
_symmetry_Int_Tables_number 1
_symmetry_space_group_name_Hall 'P 1'
loop_
_atom_site_label
_atom_site_type_symbol
_atom_site_fract_x
_atom_site_fract_y
_atom_site_fract_z
_atom_site_occupancy
Sm1 Sm 0.000 0.000 0.500 1
Sm2 Sm 0.000 0.500 0.000 1
Sm3 Sm 0.500 0.000 0.000 1
Sm4 Sm 0.500 0.500 0.500 1
Ag1 Ag 0.000 0.000 0.000 1
Hg1 Hg 0.000 0.500 0.500 1
Hg2 Hg 0.500 0.000 0.500 1



(9)
# CaScMnH2 | Alexandria via LeMat-Bulk | PBE | relaxed
# * energy: -4.548 eV per atom
# * D(E_F): 0.739 states/eV/atom
# * magnetic moment: 2.749 μB/f.u.
data_CaScMnH2
_cell_length_a 4.129
_cell_length_b 4.129
_cell_length_c 5.032
_cell_angle_alpha 90.00
_cell_angle_beta 90.00
_cell_angle_gamma 90.00
_symmetry_space_group_name_H-M 'P 1'
_symmetry_Int_Tables_number 1
_symmetry_space_group_name_Hall 'P 1'
loop_
_atom_site_label
_atom_site_type_symbol
_atom_site_fract_x
_atom_site_fract_y
_atom_site_fract_z
_atom_site_occupancy
Ca1 Ca 0.000 0.000 0.000 1
Sc1 Sc 0.500 0.500 0.500 1
Mn1 Mn 0.500 0.500 0.000 1
H1 H 0.000 0.500 0.500 1
H2 H 0.500 0.000 0.500 1



(10)
# Cr2AsIr | Alexandria via LeMat-Bulk | PBE | relaxed
# * energy: -8.122 eV per atom
# * D(E_F): 1.011 states/eV/atom
# * ΔE_f: 0.067 eV per atom
# * magnetic moment: 0.763 μB/f.u.
data_Cr2AsIr
_cell_length_a 2.718
_cell_length_b 3.863
_cell_length_c 5.137
_cell_angle_alpha 90.00
_cell_angle_beta 99.30
_cell_angle_gamma 90.00
_symmetry_space_group_name_H-M 'P 1'
_symmetry_Int_Tables_number 1
_symmetry_space_group_name_Hall 'P 1'
loop_
_atom_site_label
_atom_site_type_symbol
_atom_site_fract_x
_atom_site_fract_y
_atom_site_fract_z
_atom_site_occupancy
Cr1 Cr 0.072 0.000 0.256 1
Cr2 Cr 0.928 0.000 0.744 1
As1 As 0.500 0.500 0.500 1
Ir1 Ir 0.500 0.500 0.000 1



(11)
# GaRu2O | Alexandria via LeMat-Bulk | PBE | relaxed
# * energy: -6.214 eV per atom
# * D(E_F): 1.388 states/eV/atom
# * magnetic moment: 0.002 μB/f.u.
data_GaRu2O
_cell_length_a 4.169
_cell_length_b 4.169
_cell_length_c 4.169
_cell_angle_alpha 60.00
_cell_angle_beta 60.00
_cell_angle_gamma 60.00
_symmetry_space_group_name_H-M 'P 1'
_symmetry_Int_Tables_number 1
_symmetry_space_group_name_Hall 'P 1'
loop_
_atom_site_label
_atom_site_type_symbol
_atom_site_fract_x
_atom_site_fract_y
_atom_site_fract_z
_atom_site_occupancy
Ga1 Ga 0.000 0.000 0.000 1
Ru1 Ru 0.250 0.250 0.250 1
Ru2 Ru 0.750 0.750 0.750 1
O1 O 0.500 0.500 0.500 1



(12)
# Rb2AgI6F | Alexandria via LeMat-Bulk | PBE | relaxed
# * energy: -2.264 eV per atom
# * D(E_F): 0.351 states/eV/atom
# * magnetic moment: 0.000 μB/f.u.
data_Rb2AgI6F
_cell_length_a 8.152
_cell_length_b 8.152
_cell_length_c 8.152
_cell_angle_alpha 122.13
_cell_angle_beta 122.13
_cell_angle_gamma 86.35
_symmetry_space_group_name_H-M 'P 1'
_symmetry_Int_Tables_number 1
_symmetry_space_group_name_Hall 'P 1'
loop_
_atom_site_label
_atom_site_type_symbol
_atom_site_fract_x
_atom_site_fract_y
_atom_site_fract_z
_atom_site_occupancy
Rb1 Rb 0.250 0.750 0.500 1
Rb2 Rb 0.750 0.250 0.500 1
Ag1 Ag 0.000 0.000 0.000 1
I1 I 0.234 0.234 0.000 1
I2 I 0.254 0.254 0.509 1
I3 I 0.254 0.746 0.000 1
I4 I 0.746 0.254 0.000 1
I5 I 0.746 0.746 0.491 1
I6 I 0.766 0.766 0.000 1
F1 F 0.500 0.500 0.000 1